Run i
## Ag2SbS2 (GGA-PBE)

Data for Ag2SbS2 after structural relaxation.

CIF file:
```
data_Ag2SbS2
_cell_length_a 7.544
_cell_length_b 7.544
_cell_length_c 3.592
_cell_angle_alpha 90.00
_cell_angle_beta 90.00
_cell_angle_gamma 90.00
_symmetry_space_group_name_H-M 'P 4/m b m'
_symmetry_Int_Tables_number 127
_symmetry_space_group_name_Hall '-P 4 2ab'
loop_
_atom_site_label
_atom_site_type_symbol
_atom_site_fract_x
_atom_site_fract_y
_atom_site_fract_z
Ag1 Ag 0.131 0.369 0.000
Sb1 Sb 0.000 0.000 0.500
S1 S 0.178 0.678 0.500
```

Values from the calculation:
crystal system = tetragonal
spin magnetization = 0.00 μB per formula unit

Run ii
## Ag2SbS2 (GGA-PBE)

Data for Ag2SbS2 after structural relaxation.

CIF file:
```
data_Ag2SbS2
_cell_length_a 4.629
_cell_length_b 4.474
_cell_length_c 11.360
_cell_angle_alpha 90.00
_cell_angle_beta 101.22
_cell_angle_gamma 90.00
_symmetry_space_group_name_H-M 'P 1 21/m 1'
_symmetry_Int_Tables_number 11
_symmetry_space_group_name_Hall '-P 2yb'
loop_
_atom_site_label
_atom_site_type_symbol
_atom_site_fract_x
_atom_site_fract_y
_atom_site_fract_z
Ag1 Ag 0.054 0.250 0.295
Ag2 Ag 0.192 0.250 0.560
Sb1 Sb 0.216 0.750 0.066
S1 S 0.269 0.750 0.358
S2 S 0.398 0.750 0.874
```

Values from the calculation:
crystal system = monoclinic
spin magnetization = 0.00 μB per formula unit

It comes down to run ii, which is 126 meV/atom more stable than the next structure.